Entry 1:
A geometry-optimized BaH2O structure, computed with GGA-PBEsol.

Values from the calculation:
Total DFT energy (no corrections) in eV/atom: -4.83

Cell: 4.0248 4.0248 6.7182 Å, 90.00 90.00 90.00°
Space group P4/nmm (No. 129, origin choice 2)
Inequivalent atoms, fractional coordinates:
Ba: 0.2500 0.2500 0.2355
H: 0.2500 0.2500 0.6932
H: 0.2500 0.7500 0.5000
O: 0.2500 0.2500 0.8404

***

Entry 2:
A geometry-optimized LiZnIn structure, computed with GGA-PBEsol.

Values from the calculation:
Formation enthalpy at 0 K in eV/atom: -0.15

Cell: 3.5181 3.5181 8.4834 Å, 90.00 90.00 90.00°
Space group I4mm (No. 107)
Inequivalent atoms, fractional coordinates:
Li: 0.0000 0.0000 0.0000
Zn: 0.0000 0.0000 0.6561
In: 0.0000 0.0000 0.3283

***

Entry 3:
A geometry-optimized LaO structure, computed with GGA-PBEsol.

Values from the calculation:
Formation energy (no corrections) in eV/atom: -2.9344

Cell: 5.0911 5.0911 5.0911 Å, 90.00 90.00 90.00°
Space group Fm-3m (No. 225)
Inequivalent atoms, fractional coordinates:
La: 0.0000 0.0000 0.0000
O: 0.0000 0.0000 0.5000

***

Entry 4:
A geometry-optimized CaMg14MnO16 structure, computed with GGA-PBEsol.

Values from the calculation:
Excess energy over the best structure of this formula in the dataset in eV per formula unit: 0.085
Formation energy (no corrections) in eV/atom: -2.6243

Cell: 4.2956 8.5403 8.5507 Å, 90.00 90.00 90.00°
Space group Pmmm (No. 47)
Inequivalent atoms, fractional coordinates:
Ca: 0.0000 0.0000 0.0000
Mg: 0.0000 0.0000 0.5000
Mg: 0.0000 0.2528 0.2542
Mg: 0.0000 0.5000 0.5000
Mg: 0.5000 0.0000 0.2556
Mg: 0.5000 0.2507 0.5000
Mg: 0.5000 0.2545 0.0000
Mg: 0.5000 0.5000 0.2520
Mn: 0.0000 0.5000 0.0000
O: 0.0000 0.0000 0.2633
O: 0.0000 0.2511 0.5000
O: 0.0000 0.2586 0.0000
O: 0.0000 0.5000 0.2596
O: 0.5000 0.0000 0.0000
O: 0.5000 0.0000 0.5000
O: 0.5000 0.2503 0.2496
O: 0.5000 0.5000 0.0000
O: 0.5000 0.5000 0.5000

***

Entry 5:
A geometry-optimized RbGa3Br structure, computed with GGA-PBEsol.

Values from the calculation:
Formation energy (no corrections) in eV/atom: 0.9923

Cell: 6.0468 6.0468 6.0468 Å, 90.00 90.00 90.00°
Space group Pm-3m (No. 221)
Inequivalent atoms, fractional coordinates:
Rb: 0.0000 0.0000 0.0000
Ga: 0.0000 0.0000 0.5000
Br: 0.5000 0.5000 0.5000

***

Entry 6:
A geometry-optimized LaMoI2O structure, computed with GGA-PBEsol.

Values from the calculation:
Formation energy (no corrections) in eV/atom: -0.3518

Cell: 6.3472 6.3472 4.2454 Å, 90.00 90.00 90.00°
Space group P4/mmm (No. 123)
Inequivalent atoms, fractional coordinates:
La: 0.0000 0.0000 0.0000
Mo: 0.5000 0.5000 0.5000
I: 0.0000 0.5000 0.0000
O: 0.0000 0.0000 0.5000

***

Entry 7:
A geometry-optimized Zr3Se4 structure, computed with GGA-PBEsol.

Values from the calculation:
Excess energy over the best structure of this formula in the dataset in eV per formula unit: 0.325
Formation energy (no corrections) in eV/atom: -1.3164

Cell: 3.5599 3.5599 21.7468 Å, 90.00 90.00 90.00°
Space group I4/mmm (No. 139)
Inequivalent atoms, fractional coordinates:
Zr: 0.0000 0.0000 0.0000
Zr: 0.0000 0.0000 0.2981
Se: 0.0000 0.0000 0.1635
Se: 0.0000 0.0000 0.4326

***

Entry 8:
A geometry-optimized ZrCuMo3 structure, computed with GGA-PBEsol.

Values from the calculation:
Formation enthalpy at 0 K in eV/atom: 2.28

Cell: 4.6452 4.6452 4.6452 Å, 90.00 90.00 90.00°
Space group Pm-3m (No. 221)
Inequivalent atoms, fractional coordinates:
Zr: 0.0000 0.0000 0.0000
Cu: 0.5000 0.5000 0.5000
Mo: 0.0000 0.0000 0.5000

***

Entry 9:
A geometry-optimized LaY2Mg structure, computed with GGA-PBEsol.

Values from the calculation:
Formation enthalpy at 0 K in eV/atom: 0.04

Cell: 7.8283 7.8283 7.8283 Å, 90.00 90.00 90.00°
Space group F-43m (No. 216)
Inequivalent atoms, fractional coordinates:
La: 0.0000 0.0000 0.0000
Y: 0.0000 0.0000 0.5000
Y: 0.2500 0.2500 0.2500
Mg: 0.2500 0.2500 0.7500

***

Entry 10:
A geometry-optimized BaTl3 structure, computed with GGA-PBEsol.

Values from the calculation:
Formation enthalpy at 0 K in eV/atom: -0.30

Cell: 7.1616 7.1616 16.7747 Å, 90.00 90.00 120.00°
Space group P6_3/mmc (No. 194)
Inequivalent atoms, fractional coordinates:
Ba: 0.0000 0.0000 0.2500
Ba: 0.3333 0.6667 0.0975
Tl: 0.0392 0.5196 0.7500
Tl: 0.1716 0.3431 0.5776

***

Entry 11:
A geometry-optimized P2PtAuCl structure, computed with GGA-PBEsol.

Values from the calculation:
Formation energy (no corrections) in eV/atom: 1.2663

Cell: 4.7389 4.7389 4.6381 Å, 90.00 90.00 90.00°
Space group P4/mmm (No. 123)
Inequivalent atoms, fractional coordinates:
P: 0.0000 0.5000 0.0000
Pt: 0.0000 0.0000 0.5000
Au: 0.5000 0.5000 0.0000
Cl: 0.5000 0.5000 0.5000

***

Entry 12:
A geometry-optimized Re2NiW structure, computed with GGA-PBEsol.

Values from the calculation:
Formation enthalpy at 0 K in eV/atom: 0.00
Excess energy over the best structure of this formula in the dataset in eV per formula unit: 0.000

Cell: 3.8051 3.8051 3.8220 Å, 90.00 90.00 90.00°
Space group P4/mmm (No. 123)
Inequivalent atoms, fractional coordinates:
Re: 0.0000 0.5000 0.0000
Ni: 0.0000 0.0000 0.5000
W: 0.5000 0.5000 0.5000